[1]
Compound: Na2Sc2Ga2PdAu
Source: OQMD via LeMat-Bulk
Functional: PBE
Structure: relaxed

Computed properties:
Crystal system = tetragonal
Volume = 144 Å³/cell
Space group = P-4m2
Energy = -32.83 eV per cell

```
Na2Sc2Ga2PdAu
1.0
4.6632 0.0000 0.0000
0.0000 4.6632 0.0000
0.0000 0.0000 6.6185
Na Sc Ga Pd Au
2 2 2 1 1
Direct
0.0000 0.0000 0.0000 Na
0.5000 0.5000 0.5000 Na
0.0000 0.5000 0.2436 Sc
0.5000 0.0000 0.7564 Sc
0.0000 0.5000 0.7572 Ga
0.5000 0.0000 0.2428 Ga
0.5000 0.5000 0.0000 Pd
0.0000 0.0000 0.5000 Au
```



[2]
Compound: Na4Ga2PtAu
Source: OQMD via LeMat-Bulk
Functional: PBE
Structure: relaxed

Computed properties:
Crystal system = tetragonal
Volume = 153 Å³/cell
Space group = P-4m2
Energy = -22.28 eV per cell

```
Na4Ga2PtAu
1.0
4.7556 0.0000 0.0000
0.0000 4.7556 0.0000
0.0000 0.0000 6.7679
Na Ga Pt Au
4 2 1 1
Direct
0.0000 0.0000 0.0000 Na
0.0000 0.5000 0.7499 Na
0.5000 0.0000 0.2501 Na
0.5000 0.5000 0.5000 Na
0.0000 0.5000 0.2271 Ga
0.5000 0.0000 0.7729 Ga
0.5000 0.5000 0.0000 Pt
0.0000 0.0000 0.5000 Au
```